(1)
# MnTcW

A relaxed structure of MnTcW (PBE, the Alexandria database).

Cell: 2.7388 3.7213 8.3208 Å, 90.00 90.00 90.00°
Space group Imm2 (No. 44)
Asymmetric unit:
Mn: 0.0000 0.0000 0.0000 [2 per cell]
Tc: 0.0000 0.0000 0.6538 [2 per cell]
W: 0.0000 0.0000 0.3317 [2 per cell]

The distance to the lowest polymorph of the same formula is 123.0 meV/atom. For the density of states at the Fermi level, the calculation gives 3.32 states/eV/f.u. Its raw total energy is -10.607 eV per atom. The calculation puts the formation energy at 0.2225 eV per atom. The value obtained for the magnetic moment is 1.545 Bohr magnetons per cell.

---

(2)
# MnTcW2

A relaxed structure of MnTcW2 (PBE, the Alexandria database).

Cell: 5.3996 8.7106 2.6893 Å, 90.00 109.55 90.00°
Space group C2/m (No. 12)
Asymmetric unit:
Mn: 0.0000 0.0000 0.0000 [2 per cell]
Tc: 0.0000 0.5000 0.0000 [2 per cell]
W: 0.2500 0.2500 0.5000 [4 per cell]

The distance to the lowest polymorph of the same formula is 27.7 meV/atom. For the density of states at the Fermi level, the calculation gives 3.17 states/eV/f.u. Its raw total energy is -11.259 eV per atom. The calculation puts the formation energy at 0.1020 eV per atom. The value obtained for the magnetic moment is 4.428 Bohr magnetons per cell.

---

(3)
# MnTcW3

A relaxed structure of MnTcW3 (PBE, the Alexandria database).

Cell: 4.4201 4.4201 4.4201 Å, 90.00 90.00 90.00°
Space group Pm-3m (No. 221)
Asymmetric unit:
Mn: 0.0000 0.0000 0.0000 [1 per cell]
Tc: 0.5000 0.5000 0.5000 [1 per cell]
W: 0.0000 0.0000 0.5000 [3 per cell]

The distance to the lowest polymorph of the same formula is 0.0 meV/atom. For the density of states at the Fermi level, the calculation gives 5.19 states/eV/f.u. Its raw total energy is -10.250 eV per atom. The calculation puts the formation energy at 1.4290 eV per atom. The value obtained for the magnetic moment is 0.000 Bohr magnetons per cell.

---

(4)
# Mn2TcW

A relaxed structure of Mn2TcW (PBE, the Alexandria database).

Cell: 2.6331 4.2803 4.8990 Å, 90.00 98.86 90.00°
Space group Pm (No. 6)
Asymmetric unit:
Mn: 0.0000 0.0000 0.0000 [1 per cell]
Mn: 0.1960 0.5000 0.7453 [1 per cell]
Tc: 0.7075 0.5000 0.2257 [1 per cell]
W: 0.4837 0.0000 0.5097 [1 per cell]

The distance to the lowest polymorph of the same formula is 47.4 meV/atom. For the density of states at the Fermi level, the calculation gives 4.11 states/eV/f.u. Its raw total energy is -10.300 eV per atom. The calculation puts the formation energy at 0.1142 eV per atom. The value obtained for the magnetic moment is 3.654 Bohr magnetons per cell.